Record 1
# NaGd2In PBE relaxed
data_NaGd2In
_cell_length_a 5.434
_cell_length_b 5.434
_cell_length_c 5.434
_cell_angle_alpha 60.00
_cell_angle_beta 60.00
_cell_angle_gamma 60.00
_symmetry_space_group_name_H-M 'P 1'
_symmetry_Int_Tables_number 1
_symmetry_space_group_name_Hall 'P 1'
loop_
_atom_site_label
_atom_site_type_symbol
_atom_site_fract_x
_atom_site_fract_y
_atom_site_fract_z
_atom_site_occupancy
Na1 Na 0.500 0.500 0.500 1
In1 In 0.000 0.000 0.000 1
Gd1 Gd 0.250 0.250 0.250 1
Gd2 Gd 0.750 0.750 0.750 1
# Electronic total energy, eV/atom: -8.214
# Energy relative to the lowest polymorph listed for this composition, kJ/mol of formula units: 0.0

***

Record 2
# Zr8SnH6 PBE relaxed
data_Zr8SnH6
_cell_length_a 6.097
_cell_length_b 6.097
_cell_length_c 6.097
_cell_angle_alpha 95.40
_cell_angle_beta 95.40
_cell_angle_gamma 95.40
_symmetry_space_group_name_H-M 'P 1'
_symmetry_Int_Tables_number 1
_symmetry_space_group_name_Hall 'P 1'
loop_
_atom_site_label
_atom_site_type_symbol
_atom_site_fract_x
_atom_site_fract_y
_atom_site_fract_z
_atom_site_occupancy
H1 H 0.525 0.433 0.836 1
H2 H 0.164 0.475 0.567 1
H3 H 0.475 0.567 0.164 1
H4 H 0.567 0.164 0.475 1
H5 H 0.836 0.525 0.433 1
H6 H 0.433 0.836 0.525 1
Zr1 Zr 0.235 0.557 0.897 1
Zr2 Zr 0.329 0.329 0.329 1
Zr3 Zr 0.897 0.235 0.557 1
Zr4 Zr 0.443 0.103 0.765 1
Zr5 Zr 0.671 0.671 0.671 1
Zr6 Zr 0.557 0.897 0.235 1
Zr7 Zr 0.103 0.765 0.443 1
Zr8 Zr 0.765 0.443 0.103 1
Sn1 Sn 0.000 0.000 0.000 1
# Electronic total energy, eV/atom: -6.485